# 1
A plane-wave DFT calculation with PBE was carried out for an optimized crystal structure of RbBeAsF6.

Output
**Crystal system**: trigonal
**Fermi-level density of states**: 0.00 states/eV per cell

```
data_RbBeAsF6
_chemical_formula_sum 'Rb1 Be1 As1 F6'
_cell_length_a 5.215
_cell_length_b 5.213
_cell_length_c 6.114
_cell_angle_alpha 90.02
_cell_angle_beta 90.00
_cell_angle_gamma 60.03
_symmetry_space_group_name_H-M 'P 1'
_symmetry_Int_Tables_number 1
loop_
_symmetry_equiv_pos_as_xyz
'x,y,z'
loop_
_atom_site_label
_atom_site_type_symbol
_atom_site_fract_x
_atom_site_fract_y
_atom_site_fract_z
Rb1 Rb 0.000 0.000 0.000
Be1 Be 0.667 0.667 0.500
As1 As 0.333 0.333 0.500
F1 F 0.960 0.402 0.329
F2 F 0.401 0.960 0.671
F3 F 0.638 0.401 0.671
F4 F 0.960 0.639 0.671
F5 F 0.401 0.638 0.329
F6 F 0.639 0.960 0.329
```

=====

# 2
A plane-wave DFT calculation with PBE was carried out for an optimized crystal structure of Nb2TlO6.

Output
**Relative energy among the computed polymorphs**: 0 meV/atom
**Crystal system**: monoclinic
**Fermi-level density of states**: 2.09 states/eV per cell

```
data_Nb2TlO6
_chemical_formula_sum 'Nb2 Tl1 O6'
_cell_length_a 3.885
_cell_length_b 5.480
_cell_length_c 7.565
_cell_angle_alpha 113.14
_cell_angle_beta 90.00
_cell_angle_gamma 110.76
_symmetry_space_group_name_H-M 'P 1'
_symmetry_Int_Tables_number 1
loop_
_symmetry_equiv_pos_as_xyz
'x,y,z'
loop_
_atom_site_label
_atom_site_type_symbol
_atom_site_fract_x
_atom_site_fract_y
_atom_site_fract_z
Nb1 Nb 0.822 0.645 0.378
Nb2 Nb 0.178 0.355 0.622
Tl1 Tl 0.000 0.000 0.000
O1 O 0.300 0.599 0.434
O2 O 0.700 0.401 0.566
O3 O 0.017 0.033 0.679
O4 O 0.672 0.344 0.132
O5 O 0.983 0.967 0.321
O6 O 0.328 0.656 0.868
```

=====

# 3
A plane-wave DFT calculation with PBE was carried out for an optimized crystal structure of SrMgMn4.

Output
**Crystal system**: cubic
**Fermi-level density of states**: 5.06 states/eV per cell
**ΔE_f**: 508.3 meV per atom

```
data_SrMgMn4
_chemical_formula_sum 'Sr1 Mg1 Mn4'
_cell_length_a 5.503
_cell_length_b 5.503
_cell_length_c 5.503
_cell_angle_alpha 60.00
_cell_angle_beta 60.00
_cell_angle_gamma 60.00
_symmetry_space_group_name_H-M 'P 1'
_symmetry_Int_Tables_number 1
loop_
_symmetry_equiv_pos_as_xyz
'x,y,z'
loop_
_atom_site_label
_atom_site_type_symbol
_atom_site_fract_x
_atom_site_fract_y
_atom_site_fract_z
Sr1 Sr 0.750 0.750 0.750
Mg1 Mg 0.000 0.000 0.000
Mn1 Mn 0.880 0.373 0.373
Mn2 Mn 0.373 0.373 0.880
Mn3 Mn 0.373 0.880 0.373
Mn4 Mn 0.373 0.373 0.373
```

=====

# 4
A plane-wave DFT calculation with PBE was carried out for an optimized crystal structure of Sr2SiBr.

Output
**Relative energy among the computed polymorphs**: 18 meV/atom
**Crystal system**: orthorhombic
**Fermi-level density of states**: 1.97 states/eV per cell

```
data_Sr2SiBr
_chemical_formula_sum 'Sr2 Si1 Br1'
_cell_length_a 6.389
_cell_length_b 4.162
_cell_length_c 4.924
_cell_angle_alpha 90.00
_cell_angle_beta 90.00
_cell_angle_gamma 90.00
_symmetry_space_group_name_H-M 'P 1'
_symmetry_Int_Tables_number 1
loop_
_symmetry_equiv_pos_as_xyz
'x,y,z'
loop_
_atom_site_label
_atom_site_type_symbol
_atom_site_fract_x
_atom_site_fract_y
_atom_site_fract_z
Br1 Br 0.000 0.375 0.375
Si1 Si 0.500 0.875 0.875
Sr1 Sr 0.000 0.876 0.875
Sr2 Sr 0.500 0.375 0.375
```

=====

# 5
A plane-wave DFT calculation with PBE was carried out for an optimized crystal structure of Al2TlAu9.

Output
**Crystal system**: hexagonal
**Fermi-level density of states**: 3.06 states/eV per cell
**ΔE_f**: -127.0 meV per atom

```
data_Al2TlAu9
_chemical_formula_sum 'Al2 Tl1 Au9'
_cell_length_a 3.317
_cell_length_b 8.913
_cell_length_c 8.913
_cell_angle_alpha 120.00
_cell_angle_beta 90.00
_cell_angle_gamma 90.00
_symmetry_space_group_name_H-M 'P 1'
_symmetry_Int_Tables_number 1
loop_
_symmetry_equiv_pos_as_xyz
'x,y,z'
loop_
_atom_site_label
_atom_site_type_symbol
_atom_site_fract_x
_atom_site_fract_y
_atom_site_fract_z
Al1 Al 0.000 0.333 0.667
Al2 Al 0.000 0.667 0.333
Tl1 Tl 0.000 0.000 0.000
Au1 Au 0.000 0.000 0.500
Au2 Au 0.000 0.500 0.500
Au3 Au 0.000 0.500 0.000
Au4 Au 0.500 0.380 0.190
Au5 Au 0.500 0.190 0.810
Au6 Au 0.500 0.190 0.380
Au7 Au 0.500 0.810 0.620
Au8 Au 0.500 0.810 0.190
Au9 Au 0.500 0.620 0.810
```

=====

# 6
A plane-wave DFT calculation with PBE was carried out for an optimized crystal structure of VSb2Te2.

Output
**Relative energy among the computed polymorphs**: 36 meV/atom
**Crystal system**: tetragonal
**Fermi-level density of states**: 3.54 states/eV per cell

```
data_VSb2Te2
_chemical_formula_sum 'V1 Sb2 Te2'
_cell_length_a 4.012
_cell_length_b 4.012
_cell_length_c 9.801
_cell_angle_alpha 78.19
_cell_angle_beta 78.19
_cell_angle_gamma 90.00
_symmetry_space_group_name_H-M 'P 1'
_symmetry_Int_Tables_number 1
loop_
_symmetry_equiv_pos_as_xyz
'x,y,z'
loop_
_atom_site_label
_atom_site_type_symbol
_atom_site_fract_x
_atom_site_fract_y
_atom_site_fract_z
Sb1 Sb 0.750 0.250 0.500
Sb2 Sb 0.250 0.750 0.500
Te1 Te 0.423 0.423 0.153
Te2 Te 0.577 0.577 0.847
V1 V 0.000 0.000 0.000
```

=====

# 7
A plane-wave DFT calculation with PBE was carried out for an optimized crystal structure of Na3ZnGa.

Output
**Relative energy among the computed polymorphs**: 286 meV/atom
**Crystal system**: cubic
**Fermi-level density of states**: 2.09 states/eV per cell
**ΔE_f**: 327.2 meV per atom

```
data_Na3ZnGa
_chemical_formula_sum 'Na3 Zn1 Ga1'
_cell_length_a 5.519
_cell_length_b 5.519
_cell_length_c 5.519
_cell_angle_alpha 90.00
_cell_angle_beta 90.00
_cell_angle_gamma 90.00
_symmetry_space_group_name_H-M 'P 1'
_symmetry_Int_Tables_number 1
loop_
_symmetry_equiv_pos_as_xyz
'x,y,z'
loop_
_atom_site_label
_atom_site_type_symbol
_atom_site_fract_x
_atom_site_fract_y
_atom_site_fract_z
Na1 Na 0.000 0.500 0.000
Na2 Na 0.000 0.000 0.500
Na3 Na 0.500 0.000 0.000
Zn1 Zn 0.000 0.000 0.000
Ga1 Ga 0.500 0.500 0.500
```

=====

# 8
A plane-wave DFT calculation with PBE was carried out for an optimized crystal structure of La6Sm2Sc.

Output
**Relative energy among the computed polymorphs**: 0 meV/atom
**Crystal system**: monoclinic
**Fermi-level density of states**: 17.00 states/eV per cell
**ΔE_f**: 37.6 meV per atom

```
data_La6Sm2Sc
_chemical_formula_sum 'La6 Sm2 Sc1'
_cell_length_a 5.187
_cell_length_b 6.302
_cell_length_c 10.980
_cell_angle_alpha 106.23
_cell_angle_beta 90.00
_cell_angle_gamma 114.30
_symmetry_space_group_name_H-M 'P 1'
_symmetry_Int_Tables_number 1
loop_
_symmetry_equiv_pos_as_xyz
'x,y,z'
loop_
_atom_site_label
_atom_site_type_symbol
_atom_site_fract_x
_atom_site_fract_y
_atom_site_fract_z
La1 La 0.335 0.671 0.947
La2 La 0.665 0.329 0.053
La3 La 0.003 0.006 0.172
La4 La 0.668 0.337 0.394
La5 La 0.997 0.994 0.828
La6 La 0.332 0.663 0.606
Sm1 Sm 0.661 0.322 0.716
Sm2 Sm 0.339 0.678 0.284
Sc1 Sc 0.000 0.000 0.500
```

=====

# 9
A plane-wave DFT calculation with PBE was carried out for an optimized crystal structure of Nd2MnAlS6.

Output
**Crystal system**: monoclinic

```
data_Nd2MnAlS6
_chemical_formula_sum 'Nd4 Mn2 Al2 S12'
_cell_length_a 6.303
_cell_length_b 7.184
_cell_length_c 9.098
_cell_angle_alpha 90.00
_cell_angle_beta 90.19
_cell_angle_gamma 90.00
_symmetry_space_group_name_H-M 'P 1'
_symmetry_Int_Tables_number 1
loop_
_symmetry_equiv_pos_as_xyz
'x,y,z'
loop_
_atom_site_label
_atom_site_type_symbol
_atom_site_fract_x
_atom_site_fract_y
_atom_site_fract_z
Nd1 Nd 0.040 0.890 0.250
Nd2 Nd 0.540 0.610 0.750
Nd3 Nd 0.960 0.110 0.750
Nd4 Nd 0.460 0.390 0.250
Mn1 Mn 0.500 0.000 0.000
Mn2 Mn 0.000 0.500 0.500
Al1 Al 0.500 0.000 0.500
Al2 Al 0.000 0.500 0.000
S1 S 0.308 0.669 0.050
S2 S 0.808 0.831 0.550
S3 S 0.692 0.331 0.950
S4 S 0.192 0.169 0.450
S5 S 0.313 0.677 0.450
S6 S 0.813 0.823 0.950
S7 S 0.687 0.323 0.550
S8 S 0.187 0.177 0.050
S9 S 0.888 0.515 0.253
S10 S 0.388 0.985 0.753
S11 S 0.112 0.485 0.747
S12 S 0.612 0.015 0.247
```

=====

# 10
A plane-wave DFT calculation with PBE was carried out for an optimized crystal structure of BaHoAg2F8.

Output
**Crystal system**: trigonal
**Fermi-level density of states**: 6.22 states/eV per cell

```
data_BaHoAg2F8
_chemical_formula_sum 'Ba1 Ho1 Ag2 F8'
_cell_length_a 6.620
_cell_length_b 6.620
_cell_length_c 7.373
_cell_angle_alpha 90.00
_cell_angle_beta 90.00
_cell_angle_gamma 120.00
_symmetry_space_group_name_H-M 'P 1'
_symmetry_Int_Tables_number 1
loop_
_symmetry_equiv_pos_as_xyz
'x,y,z'
loop_
_atom_site_label
_atom_site_type_symbol
_atom_site_fract_x
_atom_site_fract_y
_atom_site_fract_z
Ba1 Ba 0.000 0.000 0.500
Ho1 Ho 0.000 0.000 0.000
Ag1 Ag 0.667 0.333 0.274
Ag2 Ag 0.333 0.667 0.726
F1 F 0.860 0.140 0.199
F2 F 0.860 0.721 0.199
F3 F 0.279 0.140 0.199
F4 F 0.721 0.860 0.801
F5 F 0.333 0.667 0.440
F6 F 0.667 0.333 0.560
F7 F 0.140 0.860 0.801
F8 F 0.140 0.279 0.801
```

=====

# 11
A plane-wave DFT calculation with PBE was carried out for an optimized crystal structure of Ce2Al4GaPt3.

Output
**Crystal system**: tetragonal
**Fermi-level density of states**: 12.60 states/eV per cell
**ΔE_f**: -956.1 meV per atom

```
data_Ce2Al4GaPt3
_chemical_formula_sum 'Ce2 Al4 Ga1 Pt3'
_cell_length_a 4.271
_cell_length_b 4.271
_cell_length_c 10.511
_cell_angle_alpha 90.00
_cell_angle_beta 90.00
_cell_angle_gamma 90.00
_symmetry_space_group_name_H-M 'P 1'
_symmetry_Int_Tables_number 1
loop_
_symmetry_equiv_pos_as_xyz
'x,y,z'
loop_
_atom_site_label
_atom_site_type_symbol
_atom_site_fract_x
_atom_site_fract_y
_atom_site_fract_z
Ce1 Ce 0.500 0.000 0.250
Ce2 Ce 0.000 0.500 0.750
Al1 Al 0.500 0.500 0.000
Al2 Al 0.000 0.000 0.000
Al3 Al 0.500 0.000 0.636
Al4 Al 0.000 0.500 0.364
Ga1 Ga 0.500 0.500 0.500
Pt1 Pt 0.000 0.000 0.500
Pt2 Pt 0.500 0.000 0.869
Pt3 Pt 0.000 0.500 0.131
```

=====

# 12
A plane-wave DFT calculation with PBE was carried out for an optimized crystal structure of Cu2SnI2.

Output
**Relative energy among the computed polymorphs**: 0 meV/atom
**Crystal system**: tetragonal
**Fermi-level density of states**: 3.00 states/eV per cell

```
data_Cu2SnI2
_chemical_formula_sum 'Cu2 Sn1 I2'
_cell_length_a 3.812
_cell_length_b 3.812
_cell_length_c 9.924
_cell_angle_alpha 78.93
_cell_angle_beta 78.93
_cell_angle_gamma 90.00
_symmetry_space_group_name_H-M 'P 1'
_symmetry_Int_Tables_number 1
loop_
_symmetry_equiv_pos_as_xyz
'x,y,z'
loop_
_atom_site_label
_atom_site_type_symbol
_atom_site_fract_x
_atom_site_fract_y
_atom_site_fract_z
I1 I 0.349 0.349 0.301
I2 I 0.651 0.651 0.699
Sn1 Sn 0.000 0.000 0.000
Cu1 Cu 0.750 0.250 0.500
Cu2 Cu 0.250 0.750 0.500
```

=====

| no. | final energy (eV per atom) |
| --- | --- |
| 1 | -4.80 |
| 2 | -7.91 |
| 3 | -6.15 |
| 4 | -3.53 |
| 5 | -3.41 |
| 6 | -4.36 |
| 7 | -1.32 |
| 8 | -5.00 |
| 9 | -6.14 |
| 10 | -4.86 |
| 11 | -5.75 |
| 12 | -2.83 |